A plane-wave DFT calculation with PBE was carried out for NdHo5Er5 after structural relaxation.

For the formation energy, the calculation gives 3.60 eV/f.u. The symmetry is P-6m2. The density comes out at 8.3 Mg/m³. Its total magnetization is 0.000 μB per atom.

```
data_NdHo5Er5
_space_group_name_H-M_alt 'P 1'
_space_group_IT_number 1
_cell_length_a 6.0386
_cell_length_b 6.0386
_cell_length_c 11.4627
_cell_angle_alpha 90.00
_cell_angle_beta 90.00
_cell_angle_gamma 120.00
loop_
_space_group_symop_operation_xyz
'x,y,z'
loop_
_atom_site_label
_atom_site_type_symbol
_atom_site_fract_x
_atom_site_fract_y
_atom_site_fract_z
Ho1 Ho 0.8323 0.6646 0.5000
Er1 Er 0.3333 0.6667 0.6737
Ho2 Ho 0.3354 0.1677 0.5000
Ho3 Ho 0.0000 0.0000 0.2641
Er2 Er 0.6667 0.3333 0.1590
Ho4 Ho 0.8323 0.1677 0.5000
Ho5 Ho 0.0000 0.0000 0.7359
Nd1 Nd 0.3333 0.6667 0.0000
Er3 Er 0.6667 0.3333 0.8410
Er4 Er 0.3333 0.6667 0.3263
Er5 Er 0.0000 0.0000 0.0000
```